No. 1
VASP calculation (PBE) on a relaxed structure of La2CSe.

a b c (Å): 3.9804 3.9804 7.5579
angles (deg): 74.73 74.73 60.00
With the nearest neighbours (Å) after each atom.
Element x y z (fractional)
La 0.0679 0.0679 0.7962  3 C 2.72
La 0.2650 0.2650 0.2048  3 C 2.74
C 0.6675 0.6675 0.9974  6 La 2.72-2.74
Se 0.4995 0.4995 0.5015  6 La 3.13-3.14

Values from the calculation:
Its crystal system is trigonal. As for the total magnetic moment: 0.00 μB/f.u. The density of states at the Fermi level is 0.04 states/eV per atom. The formation energy from raw total energies is -0.96 eV/atom. The calculation puts the final energy at -26.42 eV per cell.


No. 2
VASP calculation (PBE) on a relaxed structure of LaCSe2.

a b c (Å): 5.7446 5.7446 7.4629
angles (deg): 67.36 67.36 90.00
With the nearest neighbours (Å) after each atom.
Element x y z (fractional)
C 0.5000 0.5000 0.0000  4 Se 2.28
C 0.2500 0.7500 0.5000  4 Se 2.28
Se 0.5190 0.1250 0.2500  2 C 2.28
Se 0.2310 0.6250 0.2500  2 C 2.28
Se 0.3750 0.4810 0.7500  2 C 2.28
Se 0.8750 0.7690 0.7500  2 C 2.28
La 0.0000 0.0000 0.0000  4 Se 2.95
La 0.7500 0.2500 0.5000  4 Se 2.95

Values from the calculation:
Its crystal system is tetragonal. As for the total magnetic moment: 0.00 μB/f.u. The density of states at the Fermi level is 1.00 states/eV per atom. The formation energy from raw total energies is 0.31 eV/atom. The calculation puts the final energy at -39.74 eV per cell.


No. 3
VASP calculation (PBE) on a relaxed structure of LaCSe2.

a b c (Å): 7.4584 7.4584 7.4584
angles (deg): 34.59 34.59 34.59
With the nearest neighbours (Å) after each atom.
Element x y z (fractional)
C 0.0000 0.0000 0.0000  2 Se 1.84
Se 0.0874 0.0874 0.0874  1 C 1.84
Se 0.9126 0.9126 0.9126  1 C 1.84
La 0.5000 0.5000 0.5000  6 Se 3.05

Values from the calculation:
Its crystal system is trigonal. As for the total magnetic moment: 1.35 μB/f.u. The density of states at the Fermi level is 0.83 states/eV per atom. The formation energy from raw total energies is 0.25 eV/atom. The calculation puts the final energy at -20.12 eV per cell.